*one*
Compound: PrHoBr3N
Source: OQMD via LeMat-Bulk
Functional: PBE
Structure: optimized geometry

a b c (Å): 18.063 3.989 11.650
angles (deg): 90.00 123.14 90.00
Space group C2/m (No. 12)
Unique sites:
1 Pr 0.136 0.000 0.285 (multiplicity 4)
2 Ho 0.075 0.500 0.959 (multiplicity 4)
3 Br 0.046 0.000 0.757 (multiplicity 4)
4 Br 0.163 0.500 0.512 (multiplicity 4)
5 Br 0.214 0.000 0.110 (multiplicity 4)
6 N 0.071 0.500 0.148 (multiplicity 4)

spin magnetization: 0.002 μB per formula unit

***

*two*
Compound: PrHoBr3N
Source: OQMD via LeMat-Bulk
Functional: PBE
Structure: optimized geometry

a b c (Å): 17.906 3.946 11.527
angles (deg): 90.00 123.82 90.00
Space group C2/m (No. 12)
Unique sites:
1 Pr 0.081 0.000 0.457 (multiplicity 4)
2 Ho 0.136 0.500 0.786 (multiplicity 4)
3 Br 0.036 0.500 0.233 (multiplicity 4)
4 Br 0.168 0.000 0.010 (multiplicity 4)
5 Br 0.227 0.500 0.629 (multiplicity 4)
6 N 0.078 0.000 0.659 (multiplicity 4)

spin magnetization: 0.002 μB per formula unit

***

Out of the structures above, which one is the least stable? Solution: *two*.